[1]
# RbCd4HgAu2 | Alexandria | PBE-GGA | optimized geometry
data_RbCd4HgAu2
_chemical_formula_sum 'Rb3 Cd12 Hg3 Au6'
_cell_length_a 4.7766
_cell_length_b 4.7766
_cell_length_c 33.4443
_cell_angle_alpha 90.00
_cell_angle_beta 90.00
_cell_angle_gamma 120.00
_symmetry_space_group_name_H-M 'R -3 m'
_symmetry_Int_Tables_number 166
_symmetry_space_group_name_Hall '-R 3 2"'
loop_
_atom_site_label
_atom_site_type_symbol
_atom_site_fract_x
_atom_site_fract_y
_atom_site_fract_z
Rb1 Rb 0.0000 0.0000 0.0000
Cd1 Cd 0.0000 0.0000 0.1223
Cd2 Cd 0.0000 0.0000 0.4095
Hg1 Hg 0.0000 0.0000 0.5000
Au1 Au 0.0000 0.0000 0.2468
# Crystal system: trigonal
# DFT formation energy: -10.5 kJ/mol of atoms

[2]
# Y2Cu3Sn3 | Alexandria | PBE-GGA | optimized geometry
data_Y2Cu3Sn3
_chemical_formula_sum 'Y2 Cu3 Sn3'
_cell_length_a 3.069
_cell_length_b 3.069
_cell_length_c 22.001
_cell_angle_alpha 90.00
_cell_angle_beta 90.00
_cell_angle_gamma 90.00
_symmetry_space_group_name_H-M 'P 4/m m m'
_symmetry_Int_Tables_number 123
_symmetry_space_group_name_Hall '-P 4 2'
loop_
_atom_site_label
_atom_site_type_symbol
_atom_site_fract_x
_atom_site_fract_y
_atom_site_fract_z
Y1 Y 0.000 0.000 0.246
Cu1 Cu 0.000 0.000 0.119
Cu2 Cu 0.000 0.000 0.500
Sn1 Sn 0.000 0.000 0.000
Sn2 Sn 0.000 0.000 0.385
# Crystal system: tetragonal
# DFT formation energy: 55.1 kJ/mol of atoms

[3]
# CoMoCl2 | Alexandria | PBE-GGA | optimized geometry
data_CoMoCl2
_chemical_formula_sum 'Co4 Mo4 Cl8'
_cell_length_a 6.118
_cell_length_b 6.118
_cell_length_c 6.118
_cell_angle_alpha 90.00
_cell_angle_beta 90.00
_cell_angle_gamma 90.00
_symmetry_space_group_name_H-M 'F m -3 m'
_symmetry_Int_Tables_number 225
_symmetry_space_group_name_Hall '-F 4 2 3'
loop_
_atom_site_label
_atom_site_type_symbol
_atom_site_fract_x
_atom_site_fract_y
_atom_site_fract_z
Co1 Co 0.000 0.000 0.000
Mo1 Mo 0.000 0.000 0.500
Cl1 Cl 0.250 0.250 0.250
# Crystal system: cubic
# Formation energy from raw total energies: 0.738 eV per atom

| no. | Fermi-level density of states (states/eV/cell) | total DFT energy (no corrections) (eV per atom) |
| --- | --- | --- |
| 1 | 9.41 | -1.54 |
| 2 | 6.89 | -4.08 |
| 3 | 14.41 | -4.67 |